No. 1
# Pr4TeS3

An optimized crystal structure of Pr4TeS3 (GGA-PBE, Alexandria via LeMat-Bulk).

Geometry as POSCAR:
```
Pr4TeS3
1.0
4.1683 0.0000 0.0000
-2.0841 3.6098 0.0000
0.0000 0.0000 28.1477
Pr Te S
8 2 6
direct
0.3333 0.6667 0.4390
0.0000 0.0000 0.1730
0.3333 0.6667 0.0610
0.0000 0.0000 0.6730
0.6667 0.3333 0.9390
0.0000 0.0000 0.8270
0.6667 0.3333 0.5610
0.0000 0.0000 0.3270
0.3333 0.6667 0.2500
0.6667 0.3333 0.7500
0.6667 0.3333 0.1169
0.3333 0.6667 0.6169
0.3333 0.6667 0.8831
0.0000 0.0000 0.5000
0.6667 0.3333 0.3831
0.0000 0.0000 0.0000
```

## Properties
**Uncorrected formation energy**: -1.885 eV per atom
**Space group**: P6_3/mmc


No. 2
# CrWBr2

An optimized crystal structure of CrWBr2 (GGA-PBE, Alexandria via LeMat-Bulk).

Geometry as POSCAR:
```
CrWBr2
1.0
-3.4372 0.1843 0.3913
-2.3094 -2.2076 -1.3397
-0.5679 -5.6367 7.4188
W Br Cr
1 2 1
direct
0.7652 0.7652 0.5470
0.2500 0.2500 0.3252
0.0244 0.0244 0.9133
0.4603 0.4603 0.7145
```

## Properties
**E above lowest polymorph**: 0 meV per atom
**Uncorrected formation energy**: 0.168 eV per atom
**Space group**: Cm


No. 3
# MgVZnNi

An optimized crystal structure of MgVZnNi (GGA-PBE, Alexandria via LeMat-Bulk).

Geometry as POSCAR:
```
MgVZnNi
1.0
4.2980 0.0000 0.0000
2.1490 3.7222 0.0000
2.1490 1.2407 3.5093
Mg Zn Ni V
1 1 1 1
direct
0.5000 0.5000 0.5000
0.2500 0.2500 0.2500
0.7500 0.7500 0.7500
0.0000 0.0000 0.0000
```

## Properties
**Energy of formation**: 0.034 eV/atom
**Space group**: F-43m


No. 4
# Tb8C3S3N

An optimized crystal structure of Tb8C3S3N (GGA-PBE, Alexandria via LeMat-Bulk).

Geometry as POSCAR:
```
Tb8C3S3N
1.0
-5.8453 4.5095 0.4919
1.7014 -4.4796 5.6378
4.5039 5.9963 -1.4501
N Tb S C
1 8 3 3
direct
0.0000 0.0000 0.5000
0.2642 0.0260 0.2878
0.2612 0.5225 0.2838
0.2381 0.4762 0.7121
0.7388 0.4775 0.7162
0.2382 0.9740 0.7122
0.7358 0.9740 0.7122
0.7619 0.5238 0.2879
0.7618 0.0260 0.2878
0.0000 0.0000 0.0000
0.5000 0.5000 0.0000
0.0000 0.5000 0.0000
0.0000 0.5000 0.5000
0.5000 0.0000 0.5000
0.5000 0.5000 0.5000
```

## Properties
**Uncorrected formation energy**: -1.223 eV per atom
**Space group**: R-3m


No. 5
# RbLa2Al2

An optimized crystal structure of RbLa2Al2 (GGA-PBE, Alexandria via LeMat-Bulk).

Geometry as POSCAR:
```
RbLa2Al2
1.0
9.4805 0.0000 0.0000
0.0000 9.4805 0.0000
0.0000 0.0000 3.5720
La Al Rb
4 4 2
direct
0.6730 0.8270 0.5000
0.8270 0.3270 0.5000
0.3270 0.1730 0.5000
0.1730 0.6730 0.5000
0.3915 0.8915 0.0000
0.6085 0.1085 0.0000
0.1085 0.3915 0.0000
0.8915 0.6085 0.0000
0.5000 0.5000 0.0000
0.0000 0.0000 0.0000
```

## Properties
**E above lowest polymorph**: 30 meV per atom
**Energy of formation**: 0.010 eV/atom
**Space group**: P4/mbm


No. 6
# TbHo4Al4

An optimized crystal structure of TbHo4Al4 (GGA-PBE, Alexandria via LeMat-Bulk).

Geometry as POSCAR:
```
TbHo4Al4
1.0
5.7369 0.0000 0.0000
0.0000 8.8314 0.0000
0.0000 0.0000 8.8314
Al Ho Tb
8 8 2
direct
0.4062 0.8047 0.9042
0.4062 0.1953 0.0958
0.5938 0.0958 0.8047
0.9062 0.5958 0.3047
0.5938 0.9042 0.1953
0.0938 0.6953 0.5958
0.9062 0.4042 0.6953
0.0938 0.3047 0.4042
0.3896 0.4257 0.8358
0.6104 0.8358 0.5743
0.1104 0.0743 0.6642
0.1104 0.9257 0.3358
0.8896 0.6642 0.9257
0.6104 0.1642 0.4257
0.8896 0.3358 0.0743
0.3896 0.5743 0.1642
0.5000 0.5000 0.5000
0.0000 0.0000 0.0000
```

## Properties
**Energy of formation**: -0.154 eV/atom
**Space group**: P4_2/n


No. 7
# Re2AsPt

An optimized crystal structure of Re2AsPt (GGA-PBE, Alexandria via LeMat-Bulk).

Geometry as POSCAR:
```
Re2AsPt
1.0
-2.8366 0.2141 0.1484
-0.3318 -1.3364 -4.4132
-0.2704 -4.5527 1.3990
Re As Pt
2 1 1
direct
0.5000 0.5000 0.0000
0.0000 0.0000 0.0000
0.5000 0.0000 0.5000
0.0000 0.5000 0.5000
```

## Properties
**Energy of formation**: 0.449 eV/atom
**Space group**: Pmmm


No. 8
# Ca3Tl3Cd2

An optimized crystal structure of Ca3Tl3Cd2 (GGA-PBE, Alexandria via LeMat-Bulk).

Geometry as POSCAR:
```
Ca3Tl3Cd2
1.0
-0.5680 -3.2197 -2.2318
0.9338 4.5656 -6.8242
6.5691 -3.5868 3.5025
Tl Ca Cd
3 3 2
direct
0.0000 0.2547 0.0000
0.0000 0.0000 0.2547
0.0000 0.7453 0.7453
0.5000 0.0000 0.6268
0.5000 0.6268 0.0000
0.5000 0.3732 0.3732
0.0000 0.3333 0.6667
0.0000 0.6667 0.3333
```

## Properties
**Energy of formation**: -0.295 eV/atom
**Space group**: P-62m


No. 9
# NbCoMo

An optimized crystal structure of NbCoMo (GGA-PBE, Alexandria via LeMat-Bulk).

Geometry as POSCAR:
```
NbCoMo
1.0
-3.8594 0.6307 -2.9741
-2.7279 -3.8232 -1.3290
-7.0128 1.5576 5.3725
Nb Mo Co
4 4 4
direct
0.5796 0.0000 0.8407
0.1704 0.5000 0.6593
0.4204 0.0000 0.1593
0.3296 0.5000 0.3407
0.9223 0.1553 0.5000
0.1723 0.6553 0.0000
0.8277 0.3447 0.0000
0.5777 0.8447 0.5000
0.8732 0.5000 0.2535
0.1232 0.0000 0.7535
0.6268 0.5000 0.7465
0.8768 0.0000 0.2465
```

## Properties
**E above lowest polymorph**: 0 meV per atom
**Energy of formation**: -0.065 eV/atom
**Space group**: Fddd


No. 10
# CeEuErSc

An optimized crystal structure of CeEuErSc (GGA-PBE, Alexandria via LeMat-Bulk).

Geometry as POSCAR:
```
CeEuErSc
1.0
-0.0565 -0.6868 5.5635
2.7063 -4.3280 2.3176
4.6651 0.8826 2.9807
Sc Er Eu Ce
1 1 1 1
direct
0.0000 0.0000 0.0000
0.5000 0.5000 0.5000
0.2500 0.2500 0.2500
0.7500 0.7500 0.7500
```

## Properties
**Energy of formation**: 0.224 eV/atom
**Space group**: F-43m


No. 11
# Tm6MgTc

An optimized crystal structure of Tm6MgTc (GGA-PBE, Alexandria via LeMat-Bulk).

Geometry as POSCAR:
```
Tm6MgTc
1.0
-3.3698 5.2255 -2.6485
-5.5578 -1.1135 -3.7430
-6.4990 1.6673 3.0468
Tm Tc Mg
6 1 1
direct
0.7898 0.0274 0.7586
0.4197 0.7918 0.7587
0.2102 0.9726 0.2414
0.0286 0.4206 0.7592
0.5803 0.2082 0.2413
0.9714 0.5794 0.2408
0.0000 0.0000 0.0000
0.5000 0.5000 0.5000
```

## Properties
**Energy of formation**: 0.260 eV/atom
**Space group**: P-1


No. 12
# La5Y12Th2

An optimized crystal structure of La5Y12Th2 (GGA-PBE, Alexandria via LeMat-Bulk).

Geometry as POSCAR:
```
La5Y12Th2
1.0
-2.7700 -0.5922 -6.6307
1.2731 -14.1464 4.6517
-5.5978 15.3694 0.9659
Y Th La
12 2 5
direct
0.0404 0.5892 0.3799
0.4579 0.4375 0.0465
0.4619 0.9237 0.1172
0.5489 0.5892 0.3799
0.5421 0.5625 0.9535
0.4511 0.4108 0.6201
0.9631 0.9262 0.1163
0.0203 0.5625 0.9535
0.9596 0.4108 0.6201
0.0369 0.0738 0.8837
0.9797 0.4375 0.0465
0.5381 0.0763 0.8828
0.2494 0.0000 0.0000
0.7506 0.0000 0.0000
0.2517 0.5034 0.5020
0.5015 0.0031 0.4057
0.4985 0.9969 0.5943
0.7483 0.4966 0.4980
0.0000 0.0000 0.5000
```

## Properties
**Energy of formation**: 0.104 eV/atom
**Space group**: C2/m


No. 13
# ZnB2H3Rh6

An optimized crystal structure of ZnB2H3Rh6 (GGA-PBE, Alexandria via LeMat-Bulk).

Geometry as POSCAR:
```
ZnB2H3Rh6
1.0
-1.6467 2.3483 -0.2363
-5.6358 -3.7241 2.2635
4.0481 1.5767 4.9845
Rh Zn B H
6 1 2 3
direct
0.6559 0.5179 0.3117
0.3441 0.4821 0.6883
0.0340 0.7256 0.0681
0.2932 0.8616 0.5864
0.7068 0.1384 0.4136
0.9660 0.2744 0.9319
0.5000 0.0000 0.0000
0.8574 0.7068 0.7149
0.1426 0.2932 0.2851
0.8331 0.0623 0.6662
0.1669 0.9377 0.3338
0.5000 0.5000 0.0000
```

## Properties
**Total energy**: -5.8453 eV per atom
**Space group**: C2/m


No. 14
# Er2ZrSc

An optimized crystal structure of Er2ZrSc (GGA-PBE, Alexandria via LeMat-Bulk).

Geometry as POSCAR:
```
Er2ZrSc
1.0
4.7206 0.0000 0.0000
0.0000 4.7441 0.0000
0.0000 0.0000 4.7441
Er Zr Sc
2 1 1
direct
0.0000 0.0000 0.5000
0.0000 0.5000 0.0000
0.5000 0.5000 0.5000
0.5000 0.0000 0.0000
```

## Properties
**E above lowest polymorph**: 6 meV per atom
**Energy of formation**: 0.073 eV/atom
**Space group**: P4/mmm


No. 15
# Pm7NiIr4

An optimized crystal structure of Pm7NiIr4 (GGA-PBE, Alexandria via LeMat-Bulk).

Geometry as POSCAR:
```
Pm7NiIr4
1.0
-1.3187 -2.3173 -3.0141
6.4863 -2.1591 1.5084
-7.0614 -6.0639 7.7515
Pm Ni Ir
7 1 4
direct
0.0407 0.0814 0.7833
0.9581 0.9163 0.2162
0.7427 0.4853 0.3589
0.2603 0.5206 0.6424
0.6540 0.3079 0.0454
0.3418 0.6836 0.9538
0.5060 0.0121 0.5073
0.8857 0.7714 0.5769
0.6989 0.3978 0.8014
0.9981 0.9963 0.9982
0.1173 0.2345 0.4263
0.2964 0.5928 0.1898
```

## Properties
**Energy of formation**: -0.530 eV/atom
**Space group**: Cm


No. 16
# Li2Ce2I7

An optimized crystal structure of Li2Ce2I7 (GGA-PBE, Alexandria via LeMat-Bulk).

Geometry as POSCAR:
```
Li2Ce2I7
1.0
7.8302 1.0137 1.3218
-0.6937 8.5348 -0.4469
-0.6937 -2.6448 8.1270
I Ce Li
7 2 2
direct
0.2882 0.3779 0.3779
0.2665 0.5084 0.9018
0.0000 0.0000 0.0000
0.2665 0.9018 0.5084
0.7335 0.0982 0.4916
0.7335 0.4916 0.0982
0.7118 0.6221 0.6221
0.9016 0.3164 0.3164
0.0984 0.6836 0.6836
0.5000 0.3465 0.6535
0.5000 0.6535 0.3465
```

## Properties
**Uncorrected formation energy**: -1.150 eV per atom
**Space group**: C2/m


No. 17
# Ir2AuSe

An optimized crystal structure of Ir2AuSe (GGA-PBE, Alexandria via LeMat-Bulk).

Geometry as POSCAR:
```
Ir2AuSe
1.0
10.0605 0.0272 0.0159
9.6478 2.8520 0.0159
9.6478 1.4094 2.4794
Au Ir Se
1 2 1
direct
0.7391 0.7391 0.7391
0.9912 0.9912 0.9912
0.2519 0.2519 0.2519
0.5178 0.5178 0.5178
```

## Properties
**Uncorrected formation energy**: 0.353 eV per atom
**Space group**: R3m


No. 18
# Rb3Pm3DySe8

An optimized crystal structure of Rb3Pm3DySe8 (GGA-PBE, Alexandria via LeMat-Bulk).

Geometry as POSCAR:
```
Rb3Pm3DySe8
1.0
-2.6255 -6.9889 4.1550
8.2829 1.0195 -1.8377
-3.5393 5.4791 6.9878
Se Pm Dy Rb
8 3 1 3
direct
0.7716 0.5435 0.3058
0.2619 0.0337 0.3058
0.7381 0.9663 0.6942
0.7716 0.0337 0.3058
0.2284 0.4565 0.6942
0.2284 0.9663 0.6942
0.2662 0.5327 0.2997
0.7338 0.4673 0.7003
0.5000 0.0000 0.5000
0.0000 0.5000 0.5000
0.5000 0.5000 0.5000
0.0000 0.0000 0.5000
0.0000 0.0000 0.0000
0.5000 0.5000 0.0000
0.0000 0.5000 0.0000
```

## Properties
**Uncorrected formation energy**: -1.659 eV per atom
**Space group**: R-3m


No. 19
# La2MnGe4Au3

An optimized crystal structure of La2MnGe4Au3 (GGA-PBE, Alexandria via LeMat-Bulk).

Geometry as POSCAR:
```
La2MnGe4Au3
1.0
4.4289 0.0000 0.0000
0.0000 4.4289 0.0000
0.0000 0.0000 10.7884
Au Ge Mn La
3 4 1 2
direct
0.5000 0.0000 0.8652
0.0000 0.5000 0.1348
0.0000 0.0000 0.5000
0.0000 0.5000 0.3706
0.5000 0.5000 0.0000
0.5000 0.0000 0.6294
0.0000 0.0000 0.0000
0.5000 0.5000 0.5000
0.0000 0.5000 0.7486
0.5000 0.0000 0.2514
```

## Properties
**Energy of formation**: -0.564 eV/atom
**Space group**: P-4m2


No. 20
# Be2TcP

An optimized crystal structure of Be2TcP (GGA-PBE, Alexandria via LeMat-Bulk).

Geometry as POSCAR:
```
Be2TcP
1.0
6.0604 -0.0103 -0.0194
-2.1686 2.9048 0.0112
1.7232 1.2745 2.4030
P Tc Be
1 1 2
direct
0.0000 0.5000 0.5000
0.5000 0.5000 0.0000
0.5000 0.0000 0.5000
0.0000 0.0000 0.0000
```

## Properties
**Energy of formation**: -0.108 eV/atom
**Space group**: Cmmm


No. 21
# SrOs2PtF

An optimized crystal structure of SrOs2PtF (GGA-PBE, Alexandria via LeMat-Bulk).

Geometry as POSCAR:
```
SrOs2PtF
1.0
-3.9329 1.7454 0.1086
-0.3572 -0.5189 -4.5965
-1.7171 -3.9048 0.5742
F Os Pt Sr
1 2 1 1
direct
0.0000 0.0000 0.0000
0.5000 0.0000 0.0000
0.0000 0.0000 0.5000
0.5000 0.5000 0.5000
0.0000 0.5000 0.0000
```

## Properties
**Uncorrected formation energy**: 0.766 eV per atom
**Space group**: P4/mmm


No. 22
# LaCuIr3

An optimized crystal structure of LaCuIr3 (GGA-PBE, Alexandria via LeMat-Bulk).

Geometry as POSCAR:
```
LaCuIr3
1.0
-2.7089 -3.8688 1.4294
4.1036 -2.3565 1.3989
-0.4141 1.9567 4.5110
Cu La Ir
1 1 3
direct
0.5000 0.5000 0.5000
0.0000 0.0000 0.0000
0.0000 0.0000 0.5000
0.0000 0.5000 0.0000
0.5000 0.0000 0.0000
```

## Properties
**E above lowest polymorph**: 1634 meV per atom
**Energy of formation**: 2.145 eV/atom
**Space group**: Pm-3m


No. 23
# NaTl2CuHg

An optimized crystal structure of NaTl2CuHg (GGA-PBE, Alexandria via LeMat-Bulk).

Geometry as POSCAR:
```
NaTl2CuHg
1.0
5.2791 0.0000 0.0000
0.0000 5.2791 0.0000
0.0000 0.0000 5.1845
Na Tl Hg Cu
1 2 1 1
direct
0.5000 0.5000 0.5000
0.0000 0.5000 0.0000
0.5000 0.0000 0.0000
0.0000 0.0000 0.5000
0.0000 0.0000 0.0000
```

## Properties
**E above lowest polymorph**: 0 meV per atom
**Energy of formation**: 0.077 eV/atom
**Space group**: P4/mmm